Entry 1:
Crystalline TaAlO4 at its relaxed geometry, computed with PBEsol.

Geometry as POSCAR:
```
TaAlO4
1.0
5.450 0.003 0.000
-2.241 4.968 0.000
-1.605 -2.486 4.577
Ta Al O
2 2 8
direct
0.238 0.238 0.000
0.488 0.988 0.500
0.748 0.748 0.000
0.998 0.498 0.500
0.566 0.260 0.306
0.046 0.747 0.300
0.510 0.316 0.806
0.997 0.796 0.800
0.510 0.704 0.194
0.997 0.197 0.200
0.447 0.747 0.700
0.954 0.260 0.694
```

Results
Space group ... I4_1md
ΔE_f (raw) ... -2.920 eV/atom
Magnetization ... 0.0 μB per formula unit

***

Entry 2:
Crystalline RbGd3F10 at its relaxed geometry, computed with PBEsol.

Geometry as POSCAR:
```
RbGd3F10
1.0
8.296 0.000 0.000
4.148 7.185 0.000
4.148 2.395 6.774
Rb Gd F
2 6 20
direct
0.250 0.250 0.250
0.750 0.750 0.750
0.760 0.240 0.240
0.240 0.760 0.760
0.760 0.240 0.760
0.240 0.760 0.240
0.760 0.760 0.240
0.240 0.240 0.760
0.169 0.500 0.500
0.831 0.500 0.500
0.500 0.169 0.831
0.500 0.831 0.169
0.169 0.500 0.831
0.500 0.831 0.500
0.831 0.500 0.169
0.500 0.169 0.500
0.169 0.831 0.500
0.831 0.169 0.500
0.500 0.500 0.831
0.500 0.500 0.169
0.666 0.111 0.111
0.334 0.889 0.889
0.111 0.666 0.111
0.111 0.111 0.666
0.889 0.334 0.889
0.889 0.889 0.334
0.111 0.111 0.111
0.889 0.889 0.889
```

Results
Space group ... Fm-3m
ΔE_f (raw) ... -3.946 eV/atom
Magnetization ... 21.0 μB per formula unit